VASP calculation (meta-GGA SCAN) on La2TaIr at its PBEsol-relaxed geometry.

Summary:
energy relative to the lowest polymorph listed for this composition: 44 meV per atom
VASP energy: -56.18 eV/atom
DOS at the Fermi energy: 3.5 states/eV per cell
energy relative to the elements: -0.2102 eV per atom

abc: 6.2573 6.2573 6.2573
angles: 147.71 130.85 60.03
Sites, in units of the cell vectors:
La: 0.0000 0.0000 0.0000
La: 0.7078 0.2078 0.5000
Ta: 0.2925 0.7925 0.5000
Ir: 0.4568 0.4568 0.0000